No. 1
The following is a PBE calculation of an optimized crystal structure of Rb2As, from Alexandria via LeMat-Bulk.

Values from the calculation:
- excess energy over the best structure of this formula in the dataset (meV per atom) = 65
- SG = No. 225
- raw total energy (eV/atom) = -2.356

a = 8.3273 Å, b = 8.3273 Å, c = 8.3273 Å
α = 90.00°, β = 90.00°, γ = 90.00°
Closest atoms and distances in Å follow each position.
Sites, in units of the cell vectors:
Rb 0.7500 0.7500 0.2500  4 As 3.61
Rb 0.7500 0.7500 0.7500  4 As 3.61
Rb 0.2500 0.2500 0.7500  4 As 3.61
Rb 0.7500 0.2500 0.7500  4 As 3.61
Rb 0.2500 0.7500 0.7500  4 As 3.61
Rb 0.7500 0.2500 0.2500  4 As 3.61
Rb 0.2500 0.2500 0.2500  4 As 3.61
Rb 0.2500 0.7500 0.2500  4 As 3.61
As 0.5000 0.0000 0.5000  8 Rb 3.61
As 0.5000 0.5000 0.0000  8 Rb 3.61
As 0.0000 0.0000 0.0000  8 Rb 3.61
As 0.0000 0.5000 0.5000  8 Rb 3.61

=====

No. 2
The following is a PBE calculation of an optimized crystal structure of Re3SbRu, from Alexandria via LeMat-Bulk.

Values from the calculation:
- formation energy (no corrections) (eV per atom) = 2.03
- excess energy over the best structure of this formula in the dataset (meV per atom) = 0
- SG = No. 221
- raw total energy (eV/atom) = -8.117

a = 4.7022 Å, b = 4.7022 Å, c = 4.7022 Å
α = 90.00°, β = 90.00°, γ = 90.00°
Closest atoms and distances in Å follow each position.
Sites, in units of the cell vectors:
Re 0.5000 0.0000 0.0000  2 Ru 2.35
Re 0.0000 0.0000 0.5000  2 Ru 2.35
Re 0.0000 0.5000 0.0000  2 Ru 2.35
Ru 0.0000 0.0000 0.0000  6 Re 2.35
Sb 0.5000 0.5000 0.5000  12 Re 3.32

=====

No. 3
The following is a PBE calculation of an optimized crystal structure of Tb4NdErTm2, from Alexandria via LeMat-Bulk.

Values from the calculation:
- SG = No. 15
- raw total energy (eV/atom) = -4.165

a = 9.4724 Å, b = 9.4724 Å, c = 11.7449 Å
α = 128.31°, β = 128.31°, γ = 88.59°
Closest atoms and distances in Å follow each position.
Sites, in units of the cell vectors:
Tb 0.7480 0.7541 0.0017  3 Tm 3.27-3.39, 1 Nd 3.35, 2 Tb 3.39, 2 Er 3.39-3.40
Tb 0.7472 0.2487 0.9980  3 Tm 3.30-3.38, 1 Er 3.32, 2 Tb 3.36-3.42, 2 Nd 3.40
Tb 0.2528 0.7513 0.0020  3 Tm 3.30-3.38, 1 Er 3.32, 2 Tb 3.36-3.42, 2 Nd 3.40
Tb 0.2520 0.2459 0.9983  3 Tm 3.27-3.39, 1 Nd 3.35, 2 Tb 3.39, 2 Er 3.39-3.40
Tb 0.2541 0.2480 0.5017  3 Tm 3.27-3.39, 1 Nd 3.35, 2 Tb 3.39, 2 Er 3.39-3.40
Tb 0.7486 0.2472 0.4980  3 Tm 3.30-3.38, 1 Er 3.32, 2 Tb 3.36-3.42, 2 Nd 3.40
Tb 0.7459 0.7520 0.4983  3 Tm 3.27-3.39, 1 Nd 3.35, 2 Tb 3.39, 2 Er 3.39-3.40
Tb 0.2513 0.7528 0.5020  3 Tm 3.30-3.38, 1 Er 3.32, 2 Tb 3.36-3.42, 2 Nd 3.40
Nd 0.0000 0.5000 0.0000  6 Tb 3.35-3.40, 2 Tm 3.39
Nd 0.0000 0.5000 0.5000  6 Tb 3.35-3.40, 2 Tm 3.39
Tm 0.0000 0.0000 0.5000  6 Tb 3.30-3.39, 2 Tm 3.39
Tm 0.5000 0.0000 0.5000  6 Tb 3.27-3.38, 2 Nd 3.39
Tm 0.5000 0.0000 0.0000  6 Tb 3.27-3.38, 2 Nd 3.39
Tm 0.5000 0.5000 0.0000  6 Tb 3.30-3.39, 2 Tm 3.39
Er 0.0000 0.0000 0.0000  6 Tb 3.32-3.40, 2 Er 3.39
Er 0.5000 0.5000 0.5000  6 Tb 3.32-3.40, 2 Er 3.39

=====

No. 4
The following is a PBE calculation of an optimized crystal structure of TaBe2Sb, from Alexandria via LeMat-Bulk.

Values from the calculation:
- formation energy (no corrections) (eV per atom) = 0.66
- SG = No. 122
- raw total energy (eV/atom) = -5.193

a = 6.8318 Å, b = 6.8318 Å, c = 5.5474 Å
α = 51.99°, β = 51.99°, γ = 90.00°
Closest atoms and distances in Å follow each position.
Sites, in units of the cell vectors:
Be 0.8750 0.8674 0.7500  2 Sb 2.47, 2 Ta 2.55, 2 Be 2.73
Be 0.3750 0.3826 0.7500  2 Sb 2.47, 2 Ta 2.55, 2 Be 2.73
Be 0.1326 0.6250 0.2500  2 Sb 2.47, 2 Ta 2.55, 2 Be 2.73
Be 0.6174 0.1250 0.2500  2 Sb 2.47, 2 Ta 2.55, 2 Be 2.73
Sb 0.2500 0.7500 0.5000  4 Be 2.47, 2 Ta 2.73
Sb 0.5000 0.5000 0.0000  4 Be 2.47, 2 Ta 2.73
Ta 0.0000 0.0000 0.0000  4 Be 2.55, 2 Sb 2.73
Ta 0.7500 0.2500 0.5000  4 Be 2.55, 2 Sb 2.73

=====

No. 5
The following is a PBE calculation of an optimized crystal structure of LaScRu2, from Alexandria via LeMat-Bulk.

Values from the calculation:
- SG = No. 122
- raw total energy (eV/atom) = -7.110

a = 4.8026 Å, b = 4.8026 Å, c = 9.2430 Å
α = 74.94°, β = 74.94°, γ = 90.00°
Closest atoms and distances in Å follow each position.
Sites, in units of the cell vectors:
Sc 0.2500 0.7500 0.5000  4 Ru 2.50
Sc 0.5000 0.5000 0.0000  4 Ru 2.50
Ru 0.8750 0.7161 0.7500  2 Sc 2.50, 2 Ru 2.56
Ru 0.3750 0.5339 0.7500  2 Sc 2.50, 2 Ru 2.56
Ru 0.4661 0.1250 0.2500  2 Sc 2.50, 2 Ru 2.56
Ru 0.2839 0.6250 0.2500  2 Sc 2.50, 2 Ru 2.56
La 0.7500 0.2500 0.5000  4 Ru 3.15, 4 Sc 3.40
La 0.0000 0.0000 0.0000  4 Ru 3.15, 4 Sc 3.40

=====

No. 6
The following is a PBE calculation of an optimized crystal structure of Ce3Sb3H2, from Alexandria via LeMat-Bulk.

Values from the calculation:
- SG = No. 71
- raw total energy (eV/atom) = -5.378

a = 4.2589 Å, b = 4.4314 Å, c = 10.0322 Å
α = 77.20°, β = 77.75°, γ = 90.00°
Closest atoms and distances in Å follow each position.
Sites, in units of the cell vectors:
Sb 0.0000 0.0000 0.0000  4 Ce 3.07, 4 Sb 3.37-3.38
Sb 0.1332 0.6328 0.7335  4 H 3.06-3.16, 7 Ce 3.27-3.35, 2 Sb 3.37-3.38
Sb 0.8668 0.3672 0.2665  4 H 3.06-3.16, 7 Ce 3.27-3.35, 2 Sb 3.37-3.38
Ce 0.3085 0.8087 0.3830  4 H 2.42-2.47
Ce 0.5000 0.5000 0.0000  8 Sb 3.07-3.32
Ce 0.6915 0.1913 0.6170  4 H 2.42-2.47
H 0.7484 0.7485 0.5032  4 Ce 2.42-2.47
H 0.2516 0.2515 0.4968  4 Ce 2.42-2.47

=====

No. 7
The following is a PBE calculation of an optimized crystal structure of BaCaHg2, from Alexandria via LeMat-Bulk.

Values from the calculation:
- SG = No. 71
- raw total energy (eV/atom) = -1.002

a = 7.6658 Å, b = 7.6658 Å, c = 7.6658 Å
α = 150.48°, β = 62.39°, γ = 126.39°
Closest atoms and distances in Å follow each position.
Sites, in units of the cell vectors:
Hg 0.2367 0.0000 0.2367  1 Ca 3.10, 1 Ba 3.45
Hg 0.7633 0.0000 0.7633  1 Ca 3.10, 1 Ba 3.45
Ca 0.0000 0.0000 0.0000  2 Hg 3.10
Ba 0.5000 0.0000 0.5000  2 Hg 3.45

=====

No. 8
The following is a PBE calculation of an optimized crystal structure of Pm3HoTl4Te8, from Alexandria via LeMat-Bulk.

Values from the calculation:
- formation energy (no corrections) (eV per atom) = -1.07
- SG = No. 166
- raw total energy (eV/atom) = -4.405

a = 9.0359 Å, b = 9.7041 Å, c = 9.0355 Å
α = 117.76°, β = 120.00°, γ = 90.00°
Closest atoms and distances in Å follow each position.
Sites, in units of the cell vectors:
Te 0.7643 0.2836 0.0192  1 Ho 3.11, 2 Pm 3.17, 2 Tl 3.47
Te 0.7452 0.7164 0.9808  1 Ho 3.11, 2 Pm 3.17, 2 Tl 3.47
Te 0.7643 0.2836 0.5287  1 Ho 3.11, 2 Pm 3.17, 2 Tl 3.47
Te 0.2357 0.7164 0.9808  1 Ho 3.11, 2 Pm 3.17, 2 Tl 3.47
Te 0.7400 0.7200 0.4801  3 Pm 3.17, 3 Tl 3.47
Te 0.2600 0.2800 0.5199  3 Pm 3.17, 3 Tl 3.47
Te 0.2548 0.2836 0.0192  1 Ho 3.11, 2 Pm 3.17, 2 Tl 3.47
Te 0.2357 0.7164 0.4713  1 Ho 3.11, 2 Pm 3.17, 2 Tl 3.47
Tl 0.0000 0.0000 0.5000  6 Te 3.47
Tl 0.0000 0.0000 0.0000  6 Te 3.47
Tl 0.5000 0.0000 0.0000  6 Te 3.53
Tl 0.5000 0.0000 0.5000  6 Te 3.47
Ho 0.0000 0.5000 0.0000  6 Te 3.11
Pm 0.5000 0.5000 0.5000  6 Te 3.17
Pm 0.5000 0.5000 0.0000  6 Te 3.17
Pm 0.0000 0.5000 0.5000  6 Te 3.17

=====

Which of these has the highest raw total energy?
BaCaHg2